DFT (PBE-GGA) results for a relaxed structure of NaNdMgTe3.

Structure (CIF):
```
data_NaNdMgTe3
_chemical_formula_sum 'Na4 Nd4 Mg4 Te12'
_cell_length_a 12.799
_cell_length_b 4.570
_cell_length_c 13.264
_cell_angle_alpha 90.00
_cell_angle_beta 90.00
_cell_angle_gamma 90.00
_symmetry_space_group_name_H-M 'P n m a'
_symmetry_Int_Tables_number 62
_symmetry_space_group_name_Hall '-P 2ac 2n'
loop_
_atom_site_label
_atom_site_type_symbol
_atom_site_fract_x
_atom_site_fract_y
_atom_site_fract_z
Na1 Na 0.154 0.250 0.002
Nd1 Nd 0.028 0.250 0.323
Mg1 Mg 0.244 0.250 0.714
Te1 Te 0.051 0.750 0.151
Te2 Te 0.100 0.250 0.562
Te3 Te 0.215 0.750 0.831
```

***

DFT (PBE-GGA) results for a relaxed structure of NaMgTaNi.

Structure (CIF):
```
data_NaMgTaNi
_chemical_formula_sum 'Na4 Mg4 Ta4 Ni4'
_cell_length_a 6.381
_cell_length_b 6.381
_cell_length_c 6.381
_cell_angle_alpha 90.00
_cell_angle_beta 90.00
_cell_angle_gamma 90.00
_symmetry_space_group_name_H-M 'F -4 3 m'
_symmetry_Int_Tables_number 216
_symmetry_space_group_name_Hall 'F -4 2 3'
loop_
_atom_site_label
_atom_site_type_symbol
_atom_site_fract_x
_atom_site_fract_y
_atom_site_fract_z
Na1 Na 0.000 0.000 0.000
Mg1 Mg 0.250 0.250 0.250
Ta1 Ta 0.250 0.250 0.750
Ni1 Ni 0.000 0.000 0.500
```

***

Number 1: offset from the most stable computed form 11 meV/atom. Number 2: offset from the most stable computed form 0 meV/atom.